The following is a PBE calculation of an optimized crystal structure of CsTl3Pb, from the Alexandria database.

a = 8.1697 Å, b = 12.6532 Å, c = 7.5735 Å
α = 90.00°, β = 90.00°, γ = 90.00°
Last column: nearest neighbours and their distance in Å.
Space group Cmcm (No. 63)
Symmetry-distinct sites (fractional):
Cs: 0.0000 0.2336 0.2500 [4 per cell]  4 Pb 4.09-4.24, 13 Tl 4.13-4.57
Tl: 0.0000 0.1037 0.7500 [4 per cell]  1 Pb 3.18, 4 Tl 3.25
Tl: 0.2199 0.5000 0.0000 [8 per cell]  2 Pb 3.19, 2 Tl 3.25
Pb: 0.0000 0.3550 0.7500 [4 per cell]  5 Tl 3.18-3.19

Calculated values
Energy of formation from the pure elements: -80 meV/atom
Crystal system: orthorhombic
Final energy: -2.412 eV per atom
Relative energy among the computed polymorphs: 0 meV/atom

***

The following is a PBE calculation of an optimized crystal structure of NaSc2Hg, from the Alexandria database.

a = 3.3214 Å, b = 3.3214 Å, c = 33.6344 Å
α = 90.00°, β = 90.00°, γ = 120.00°
Last column: nearest neighbours and their distance in Å.
Space group R-3m (No. 166, hexagonal axes)
Symmetry-distinct sites (fractional):
Na: 0.0000 0.0000 0.0000 [3 per cell]  2 Sc 3.27, 6 Na 3.32
Sc: 0.0000 0.0000 0.0972 [6 per cell]  3 Hg 3.02, 1 Na 3.27, 6 Sc 3.32
Hg: 0.0000 0.0000 0.5000 [3 per cell]  6 Sc 3.02, 6 Hg 3.32

Calculated values
Energy of formation from the pure elements: 102 meV/atom
Crystal system: trigonal
Final energy: -3.469 eV per atom

***

The following is a PBE calculation of an optimized crystal structure of SrOs, from the Alexandria database.

a = 4.0772 Å, b = 4.0772 Å, c = 9.2297 Å
α = 90.00°, β = 90.00°, γ = 120.00°
Last column: nearest neighbours and their distance in Å.
Space group P-3m1 (No. 164)
Symmetry-distinct sites (fractional):
Sr: 0.3333 0.6667 0.2045 [2 per cell]  1 Os 2.98
Os: 0.3333 0.6667 0.5272 [2 per cell]  3 Os 2.41

Calculated values
Energy of formation from the pure elements: 341 meV/atom
Crystal system: trigonal
Final energy: -6.115 eV per atom